Entry 1:
Here is a relaxed Nd2Y4Tm7 crystal from Alexandria via LeMat-Bulk. Energies are from PBE.

The calculation puts the total moment at 0.00 μB/cell. The value obtained for the energy of formation from the pure elements is 0.184 eV per atom.

Unit cell a=6.0335 b=6.0335 c=13.3459 alpha=90.00 beta=90.00 gamma=120.00
Space group P-31m (No. 162)
Symmetry-distinct sites (fractional):
Nd: 0.3333 0.6667 0.0000 [2 per cell]
Y: 0.0000 0.0000 0.3948 [2 per cell]
Y: 0.3333 0.6667 0.5000 [2 per cell]
Tm: 0.0000 0.0000 0.0000 [1 per cell]
Tm: 0.0000 0.3500 0.7858 [6 per cell]



Entry 2:
Here is a relaxed NdY5Tm2 crystal from Alexandria via LeMat-Bulk. Energies are from PBE.

The calculation puts the total moment at 0.00 μB/cell. The value obtained for the energy of formation from the pure elements is 0.165 eV per atom. As for the distance to the lowest polymorph of the same formula: 141 meV per atom.

Unit cell a=5.7485 b=11.2756 c=8.5047 alpha=90.00 beta=106.30 gamma=90.00
Space group P2_1/m (No. 11)
Symmetry-distinct sites (fractional):
Nd: 0.0059 0.2500 0.1550 [2 per cell]
Y: 0.1612 0.5768 0.2074 [4 per cell]
Y: 0.2725 0.2500 0.5858 [2 per cell]
Y: 0.3018 0.5761 0.6209 [4 per cell]
Tm: 0.3958 0.1176 0.9668 [4 per cell]



Entry 3:
Here is a relaxed Nd4YTm3 crystal from Alexandria via LeMat-Bulk. Energies are from PBE.

The calculation puts the total moment at 0.00 μB/cell. The value obtained for the energy of formation from the pure elements is 0.030 eV per atom. As for the distance to the lowest polymorph of the same formula: 4 meV per atom.

Unit cell a=5.0956 b=10.1937 c=10.1429 alpha=90.00 beta=90.00 gamma=90.00
Space group Pmmn (No. 59, origin choice 2)
Symmetry-distinct sites (fractional):
Nd: 0.2500 0.0008 0.1291 [4 per cell]
Nd: 0.2500 0.2500 0.8716 [2 per cell]
Nd: 0.2500 0.7500 0.8698 [2 per cell]
Y: 0.2500 0.7500 0.3808 [2 per cell]
Tm: 0.2500 0.9997 0.6194 [4 per cell]
Tm: 0.2500 0.2500 0.3799 [2 per cell]



Entry 4:
Here is a relaxed Nd12YTm6 crystal from Alexandria via LeMat-Bulk. Energies are from PBE.

The calculation puts the total moment at 0.00 μB/cell. The value obtained for the energy of formation from the pure elements is 0.240 eV per atom. As for the distance to the lowest polymorph of the same formula: 107 meV per atom.

Unit cell a=14.8284 b=14.8284 c=10.4812 alpha=90.00 beta=90.00 gamma=120.00
Space group R-3 (No. 148, hexagonal axes)
Symmetry-distinct sites (fractional):
Nd: 0.0542 0.8019 0.0805 [18 per cell]
Nd: 0.0640 0.8384 0.4187 [18 per cell]
Y: 0.0000 0.0000 0.0000 [3 per cell]
Tm: 0.0514 0.8345 0.7597 [18 per cell]



Entry 5:
Here is a relaxed NdY3Tm7 crystal from Alexandria via LeMat-Bulk. Energies are from PBE.

The calculation puts the total moment at 0.00 μB/cell. The value obtained for the energy of formation from the pure elements is 0.167 eV per atom. As for the distance to the lowest polymorph of the same formula: 0 meV per atom.

Unit cell a=6.9258 b=5.4917 c=9.8600 alpha=90.00 beta=109.95 gamma=90.00
Space group P2/m (No. 10)
Symmetry-distinct sites (fractional):
Nd: 0.0000 0.0000 0.0000 [1 per cell]
Y: 0.2769 0.5000 0.4964 [2 per cell]
Y: 0.5000 0.0000 0.0000 [1 per cell]
Tm: 0.0000 0.0000 0.5000 [1 per cell]
Tm: 0.1491 0.5000 0.7913 [2 per cell]
Tm: 0.3234 0.5000 0.1432 [2 per cell]
Tm: 0.4238 0.0000 0.3317 [2 per cell]



Entry 6:
Here is a relaxed Nd8YTm2 crystal from Alexandria via LeMat-Bulk. Energies are from PBE.

The calculation puts the total moment at 0.00 μB/cell. The value obtained for the energy of formation from the pure elements is 0.206 eV per atom. As for the distance to the lowest polymorph of the same formula: 71 meV per atom.

Unit cell a=14.4647 b=6.8094 c=8.6920 alpha=90.00 beta=115.86 gamma=90.00
Space group C2/m (No. 12)
Symmetry-distinct sites (fractional):
Nd: 0.0959 0.2422 0.3879 [8 per cell]
Nd: 0.1089 0.0000 0.9958 [4 per cell]
Nd: 0.2393 0.0000 0.7817 [4 per cell]
Y: 0.0000 0.5000 0.0000 [2 per cell]
Tm: 0.1393 0.5000 0.7584 [4 per cell]